1.
DFT (PBE) results for crystalline Cd2IO5 at its relaxed geometry.

a = 4.096 Å, b = 6.068 Å, c = 10.779 Å
α = 90.00°, β = 90.00°, γ = 109.73°
Positions (direct):
Cd 0.857 0.714 0.430
Cd 0.857 0.714 0.070
Cd 0.143 0.286 0.570
Cd 0.143 0.286 0.930
I 0.836 0.672 0.750
I 0.164 0.328 0.250
O 0.951 0.903 0.878
O 0.951 0.903 0.622
O 0.286 0.572 0.393
O 0.286 0.572 0.107
O 0.696 0.393 0.250
O 0.304 0.607 0.750
O 0.714 0.428 0.607
O 0.714 0.428 0.893
O 0.049 0.097 0.122
O 0.049 0.097 0.378

Its formation energy without anion corrections is -0.642 eV/atom. The magnetization is 0.00 Bohr magnetons per cell.

2.
DFT (PBE) results for crystalline CdI2O6 at its relaxed geometry.

a = 5.716 Å, b = 5.920 Å, c = 17.631 Å
α = 90.00°, β = 90.00°, γ = 90.00°
Positions (direct):
Cd 0.711 0.174 0.094
Cd 0.211 0.326 0.906
Cd 0.289 0.674 0.406
Cd 0.789 0.826 0.594
I 0.242 0.784 0.708
I 0.742 0.716 0.292
I 0.758 0.284 0.792
I 0.258 0.216 0.208
I 0.034 0.639 0.077
I 0.534 0.861 0.923
I 0.966 0.139 0.423
I 0.466 0.361 0.577
O 0.543 0.604 0.516
O 0.043 0.896 0.484
O 0.457 0.104 0.984
O 0.957 0.396 0.016
O 0.609 0.492 0.661
O 0.109 0.008 0.339
O 0.391 0.992 0.839
O 0.891 0.508 0.161
O 0.712 0.181 0.545
O 0.212 0.319 0.455
O 0.288 0.681 0.955
O 0.788 0.819 0.045
O 0.049 0.022 0.162
O 0.549 0.478 0.838
O 0.951 0.522 0.338
O 0.451 0.978 0.662
O 0.364 0.377 0.124
O 0.864 0.123 0.876
O 0.636 0.877 0.376
O 0.136 0.623 0.624
O 0.519 0.034 0.207
O 0.019 0.466 0.793
O 0.481 0.534 0.293
O 0.981 0.966 0.707

Its formation energy without anion corrections is -0.552 eV/atom. The magnetization is 0.00 Bohr magnetons per cell.

3.
DFT (PBE) results for crystalline CdOsI2O at its relaxed geometry.

a = 5.887 Å, b = 5.887 Å, c = 3.997 Å
α = 90.00°, β = 90.00°, γ = 90.00°
Each line ends with the local moment (μB).
Positions (direct):
I 0.000 0.500 0.000  0.14
I 0.500 0.000 0.000  0.14
Os 0.500 0.500 0.500  3.18
O 0.000 0.000 0.500  0.30
Cd 0.000 0.000 0.000  0.03

Its formation energy without anion corrections is 1.168 eV/atom. The magnetization is 4.38 Bohr magnetons per cell.

4.
DFT (PBE) results for crystalline CdOsI2O at its relaxed geometry.

a = 5.668 Å, b = 5.668 Å, c = 3.773 Å
α = 90.00°, β = 90.00°, γ = 90.00°
Each line ends with the local moment (μB).
Positions (direct):
I 0.000 0.500 0.000  0.01
I 0.500 0.000 0.000  0.01
Os 0.000 0.000 0.000  0.20
O 0.000 0.000 0.500  0.05
Cd 0.500 0.500 0.500  0.00

Its formation energy without anion corrections is -0.021 eV/atom. The magnetization is 0.30 Bohr magnetons per cell.

5.
DFT (PBE) results for crystalline CdOsIO2 at its relaxed geometry.

a = 4.086 Å, b = 4.086 Å, c = 6.445 Å
α = 90.00°, β = 90.00°, γ = 90.00°
Each line ends with the local moment (μB).
Positions (direct):
I 0.000 0.000 0.500  0.06
Os 0.500 0.500 0.500  2.38
O 0.000 0.500 0.000  0.48
O 0.500 0.000 0.000  0.48
Cd 0.000 0.000 0.000  0.01

Its formation energy without anion corrections is 1.095 eV/atom. The magnetization is 3.95 Bohr magnetons per cell.

6.
DFT (PBE) results for crystalline CdOsIO2 at its relaxed geometry.

a = 3.877 Å, b = 3.877 Å, c = 8.097 Å
α = 90.00°, β = 90.00°, γ = 90.00°
Positions (direct):
I 0.000 0.000 0.500
Os 0.000 0.000 0.000
O 0.000 0.500 0.000
O 0.500 0.000 0.000
Cd 0.500 0.500 0.500

Its formation energy without anion corrections is -0.248 eV/atom. The magnetization is 0.00 Bohr magnetons per cell.

7.
DFT (PBE) results for crystalline CdP2IO at its relaxed geometry.

a = 5.227 Å, b = 5.227 Å, c = 3.940 Å
α = 90.00°, β = 90.00°, γ = 90.00°
Positions (direct):
I 0.000 0.000 0.000
P 0.000 0.500 0.000
P 0.500 0.000 0.000
O 0.000 0.000 0.500
Cd 0.500 0.500 0.500

Its formation energy without anion corrections is 0.806 eV/atom. The magnetization is 0.00 Bohr magnetons per cell.

8.
DFT (PBE) results for crystalline CdP2IO at its relaxed geometry.

a = 5.133 Å, b = 5.133 Å, c = 4.115 Å
α = 90.00°, β = 90.00°, γ = 90.00°
Each line ends with the local moment (μB).
Positions (direct):
I 0.500 0.500 0.500  -0.01
P 0.000 0.500 0.000  0.13
P 0.500 0.000 0.000  0.13
O 0.000 0.000 0.500  0.10
Cd 0.000 0.000 0.000  0.01

Its formation energy without anion corrections is 0.845 eV/atom. The magnetization is 0.67 Bohr magnetons per cell.